(1)
Hf2GePbSe | GGA-PBEsol | relaxed

Properties
- Formation energy from raw total energies: 1.405 eV/atom
- Space group: P4/mmm (123)

```
5
Lattice="5.391 0.000 0.000 0.000 5.391 0.000 0.000 0.000 5.118" Properties=species:S:1:pos:R:3 pbc="T T T"
Hf 0.000 2.696 0.000
Hf 2.696 0.000 0.000
Ge 0.000 0.000 2.559
Pb 2.696 2.696 0.000
Se 2.696 2.696 2.559
```

=====

(2)
HfTl2GePb | GGA-PBEsol | relaxed

Properties
- Space group: P4/mmm (123)
- Formation energy from the elements: 2.41 eV/f.u.

```
5
Lattice="5.501 0.000 0.000 0.000 5.501 0.000 0.000 0.000 5.120" Properties=species:S:1:pos:R:3 pbc="T T T"
Hf 0.000 0.000 0.000
Tl 0.000 2.750 0.000
Tl 2.750 0.000 0.000
Ge 0.000 0.000 2.560
Pb 2.750 2.750 2.560
```

=====

(3)
PmHfGe2 | GGA-PBEsol | relaxed

Properties
- Space group: R-3m (166)
- Formation energy from the elements: -2.75 eV/f.u.

```
12
Lattice="3.960 0.000 0.000 -1.980 3.429 0.000 0.000 0.000 19.750" Properties=species:S:1:pos:R:3 pbc="T T T"
Pm 0.000 0.000 0.000
Pm 0.000 2.286 13.167
Pm 1.980 1.143 6.583
Hf 0.000 0.000 9.875
Hf 0.000 2.286 3.292
Hf 1.980 1.143 16.459
Ge 0.000 0.000 4.751
Ge 0.000 0.000 14.999
Ge 0.000 2.286 8.416
Ge 0.000 2.286 17.918
Ge 1.980 1.143 1.832
Ge 1.980 1.143 11.335
```

=====

(4)
HfGePt3 | GGA-PBEsol | relaxed

Properties
- Space group: Pm-3m (221)
- Formation energy from the elements: 4.08 eV/f.u.

```
5
Lattice="4.865 0.000 0.000 0.000 4.865 0.000 0.000 0.000 4.865" Properties=species:S:1:pos:R:3 pbc="T T T"
Hf 0.000 0.000 0.000
Ge 2.432 2.432 2.432
Pt 0.000 0.000 2.432
Pt 0.000 2.432 0.000
Pt 2.432 0.000 0.000
```

=====

(5)
HfGePt | GGA-PBEsol | relaxed

Properties
- Space group: Pnma (62)
- Formation energy from the elements: -2.91 eV/f.u.

```
12
Lattice="6.570 0.000 0.000 0.000 3.942 0.000 0.000 0.000 7.627" Properties=species:S:1:pos:R:3 pbc="T T T"
Hf 0.194 0.986 1.398
Hf 3.091 2.957 5.212
Hf 3.479 0.986 2.416
Hf 6.376 2.957 6.230
Ge 1.643 0.986 6.699
Ge 1.642 2.957 2.885
Ge 4.928 0.986 4.743
Ge 4.927 2.957 0.929
Pt 0.945 0.986 4.301
Pt 2.340 2.957 0.487
Pt 4.230 0.986 7.141
Pt 5.625 2.957 3.327
```

=====

(6)
Hf2Ge2Pt | GGA-PBEsol | relaxed

Properties
- Space group: P4/mbm (127)
- Formation energy from the elements: -3.92 eV/f.u.

```
10
Lattice="6.502 0.000 0.000 0.000 6.502 0.000 0.000 0.000 4.019" Properties=species:S:1:pos:R:3 pbc="T T T"
Hf 1.117 2.134 0.000
Hf 2.134 5.385 0.000
Hf 4.368 1.117 0.000
Hf 5.385 4.368 0.000
Ge 0.865 4.116 2.009
Ge 2.386 0.865 2.009
Ge 4.116 5.637 2.009
Ge 5.637 2.386 2.009
Pt 0.000 0.000 2.009
Pt 3.251 3.251 2.009
```

=====

(7)
HfGeTePt2 | GGA-PBEsol | relaxed

Properties
- Formation energy from raw total energies: 0.642 eV/atom
- Space group: P4/mmm (123)

```
5
Lattice="4.893 0.000 0.000 0.000 4.893 0.000 0.000 0.000 5.382" Properties=species:S:1:pos:R:3 pbc="T T T"
Hf 0.000 0.000 0.000
Ge 2.446 2.446 2.691
Te 0.000 0.000 2.691
Pt 0.000 2.446 0.000
Pt 2.446 0.000 0.000
```

=====

(8)
RbHfGe2 | GGA-PBEsol | relaxed

Properties
- Space group: Fm-3m (225)
- Formation energy from the elements: 1.81 eV/f.u.

```
16
Lattice="7.099 0.000 0.000 0.000 7.099 0.000 0.000 0.000 7.099" Properties=species:S:1:pos:R:3 pbc="T T T"
Rb 0.000 0.000 0.000
Rb 0.000 3.550 3.550
Rb 3.550 0.000 3.550
Rb 3.550 3.550 0.000
Hf 0.000 0.000 3.550
Hf 0.000 3.550 0.000
Hf 3.550 0.000 0.000
Hf 3.550 3.550 3.550
Ge 1.775 1.775 1.775
Ge 1.775 1.775 5.325
Ge 1.775 5.325 1.775
Ge 1.775 5.325 5.325
Ge 5.325 1.775 1.775
Ge 5.325 1.775 5.325
Ge 5.325 5.325 1.775
Ge 5.325 5.325 5.325
```

=====

(9)
RbHfGeSe2 | GGA-PBEsol | relaxed

Properties
- Formation energy from raw total energies: 0.238 eV/atom
- Space group: P4/mmm (123)

```
5
Lattice="5.348 0.000 0.000 0.000 5.348 0.000 0.000 0.000 5.010" Properties=species:S:1:pos:R:3 pbc="T T T"
Rb 0.000 0.000 0.000
Hf 2.674 2.674 0.000
Ge 2.674 2.674 2.505
Se 0.000 2.674 2.505
Se 2.674 0.000 2.505
```

=====

(10)
RbHf2GeTe | GGA-PBEsol | relaxed

Properties
- Formation energy from raw total energies: 2.062 eV/atom
- Space group: P4/mmm (123)

```
5
Lattice="5.094 0.000 0.000 0.000 5.094 0.000 0.000 0.000 5.166" Properties=species:S:1:pos:R:3 pbc="T T T"
Rb 0.000 0.000 0.000
Hf 0.000 2.547 0.000
Hf 2.547 0.000 0.000
Ge 0.000 0.000 2.583
Te 2.547 2.547 2.583
```

=====

(11)
Hf2ReGe2 | GGA-PBEsol | relaxed

Properties
- Space group: P4/mbm (127)
- Formation energy from the elements: -2.98 eV/f.u.

```
10
Lattice="6.587 0.000 0.000 0.000 6.587 0.000 0.000 0.000 3.847" Properties=species:S:1:pos:R:3 pbc="T T T"
Hf 1.127 2.166 0.000
Hf 2.166 5.460 0.000
Hf 4.421 1.127 0.000
Hf 5.460 4.421 0.000
Re 0.000 0.000 1.923
Re 3.294 3.294 1.923
Ge 0.885 4.179 1.923
Ge 2.408 0.885 1.923
Ge 4.179 5.702 1.923
Ge 5.702 2.408 1.923
```

=====

(12)
HfGeRh3 | GGA-PBEsol | relaxed

Properties
- Space group: Pm-3m (221)
- Formation energy from the elements: 4.95 eV/f.u.

```
5
Lattice="4.682 0.000 0.000 0.000 4.682 0.000 0.000 0.000 4.682" Properties=species:S:1:pos:R:3 pbc="T T T"
Hf 0.000 0.000 0.000
Ge 2.341 2.341 2.341
Rh 0.000 0.000 2.341
Rh 0.000 2.341 0.000
Rh 2.341 0.000 0.000
```

=====

(13)
HfGe2Rh | GGA-PBEsol | relaxed

Properties
- Space group: Pbam (55)
- Formation energy from the elements: -2.85 eV/f.u.

```
48
Lattice="9.183 0.000 0.000 0.000 10.396 0.000 0.000 0.000 7.974" Properties=species:S:1:pos:R:3 pbc="T T T"
Hf 1.495 1.892 0.000
Hf 1.554 4.710 1.946
Hf 1.554 4.710 6.028
Hf 3.038 9.908 1.946
Hf 3.038 9.908 6.028
Hf 3.096 7.090 0.000
Hf 6.086 3.306 0.000
Hf 6.145 0.488 1.946
Hf 6.145 0.488 6.028
Hf 7.629 5.686 1.946
Hf 7.629 5.686 6.028
Hf 7.688 8.503 0.000
Ge 0.374 6.388 0.000
Ge 0.407 6.374 3.987
Ge 1.235 9.354 0.000
Ge 1.274 9.420 3.987
Ge 1.427 1.905 2.777
Ge 1.427 1.905 5.198
Ge 3.164 7.103 2.777
Ge 3.164 7.103 5.198
Ge 3.318 4.222 3.987
Ge 3.357 4.157 0.000
Ge 4.185 1.176 3.987
Ge 4.217 1.190 0.000
Ge 4.966 9.206 0.000
Ge 4.998 9.219 3.987
Ge 5.826 6.239 0.000
Ge 5.865 6.173 3.987
Ge 6.018 3.293 2.777
Ge 6.018 3.293 5.198
Ge 7.756 8.491 2.777
Ge 7.756 8.491 5.198
Ge 7.909 0.975 3.987
Ge 7.948 1.041 0.000
Ge 8.776 4.022 3.987
Ge 8.808 4.008 0.000
Rh 0.000 0.000 1.966
Rh 0.000 0.000 6.009
Rh 0.910 7.755 1.997
Rh 0.910 7.755 5.978
Rh 3.682 2.557 1.997
Rh 3.682 2.557 5.978
Rh 4.591 5.198 1.966
Rh 4.591 5.198 6.009
Rh 5.501 7.838 1.997
Rh 5.501 7.838 5.978
Rh 8.273 2.641 1.997
Rh 8.273 2.641 5.978
```

=====

(14)
HfGe2Ru | GGA-PBEsol | relaxed

Properties
- Space group: Pbam (55)
- Formation energy from the elements: -2.50 eV/f.u.

```
48
Lattice="9.167 0.000 0.000 0.000 10.298 0.000 0.000 0.000 8.030" Properties=species:S:1:pos:R:3 pbc="T T T"
Hf 1.498 1.841 0.000
Hf 1.606 4.631 1.924
Hf 1.606 4.631 6.106
Hf 2.978 9.780 1.924
Hf 2.978 9.780 6.106
Hf 3.085 6.990 0.000
Hf 6.082 3.308 0.000
Hf 6.189 0.517 1.924
Hf 6.189 0.517 6.106
Hf 7.561 5.666 1.924
Hf 7.561 5.666 6.106
Hf 7.669 8.456 0.000
Ge 0.318 6.339 4.015
Ge 0.355 6.334 0.000
Ge 1.213 9.236 0.000
Ge 1.220 9.303 4.015
Ge 1.454 1.863 2.786
Ge 1.454 1.863 5.244
Ge 3.129 7.012 2.786
Ge 3.129 7.012 5.244
Ge 3.364 4.154 4.015
Ge 3.371 4.087 0.000
Ge 4.228 1.185 0.000
Ge 4.265 1.190 4.015
Ge 4.902 9.108 4.015
Ge 4.939 9.113 0.000
Ge 5.796 6.211 0.000
Ge 5.803 6.144 4.015
Ge 6.038 3.286 2.786
Ge 6.038 3.286 5.244
Ge 7.713 8.435 2.786
Ge 7.713 8.435 5.244
Ge 7.948 0.995 4.015
Ge 7.954 1.062 0.000
Ge 8.812 3.964 0.000
Ge 8.849 3.959 4.015
Ru 0.000 0.000 1.966
Ru 0.000 0.000 6.065
Ru 0.847 7.620 2.018
Ru 0.847 7.620 6.012
Ru 3.736 2.471 2.018
Ru 3.736 2.471 6.012
Ru 4.584 5.149 1.966
Ru 4.584 5.149 6.065
Ru 5.431 7.826 2.018
Ru 5.431 7.826 6.012
Ru 8.320 2.678 2.018
Ru 8.320 2.678 6.012
```

=====

(15)
HfGeRu | GGA-PBEsol | relaxed

Properties
- Space group: P-62m (189)
- Formation energy from the elements: -2.35 eV/f.u.

```
9
Lattice="6.665 0.000 0.000 -3.332 5.772 0.000 0.000 0.000 3.712" Properties=species:S:1:pos:R:3 pbc="T T T"
Hf -1.384 2.398 0.000
Hf 2.769 0.000 0.000
Hf 1.948 3.374 0.000
Ge 0.000 0.000 0.000
Ge 0.000 3.848 1.856
Ge 3.332 1.924 1.856
Ru -2.512 4.352 1.856
Ru 0.820 1.420 1.856
Ru 5.025 0.000 1.856
```

=====

(16)
HfGeS | GGA-PBEsol | relaxed

Properties
- Formation energy from raw total energies: -1.169 eV/atom
- Space group: P4/nmm (129)

```
6
Lattice="3.583 0.000 0.000 0.000 3.583 0.000 0.000 0.000 7.872" Properties=species:S:1:pos:R:3 pbc="T T T"
Hf 0.896 0.896 1.766
Hf 2.687 2.687 6.106
Ge 0.896 2.687 3.936
Ge 2.687 0.896 3.936
S 0.896 0.896 6.935
S 2.687 2.687 0.937
```

=====

(17)
HfGeS3 | GGA-PBEsol | relaxed

Properties
- Formation energy from raw total energies: 0.037 eV/atom
- Space group: Pm-3m (221)

```
5
Lattice="4.544 0.000 0.000 0.000 4.544 0.000 0.000 0.000 4.544" Properties=species:S:1:pos:R:3 pbc="T T T"
Hf 0.000 0.000 0.000
Ge 2.272 2.272 2.272
S 0.000 2.272 2.272
S 2.272 0.000 2.272
S 2.272 2.272 0.000
```

=====

(18)
HfGeS2 | GGA-PBEsol | relaxed

Properties
- Formation energy from raw total energies: -0.373 eV/atom
- Space group: I-42d (122)

```
16
Lattice="6.159 0.000 0.000 0.000 6.159 0.000 0.000 0.000 10.189" Properties=species:S:1:pos:R:3 pbc="T T T"
Hf 0.000 0.000 0.000
Hf 0.000 3.079 2.547
Hf 3.079 0.000 7.642
Hf 3.079 3.079 5.094
Ge 0.000 0.000 5.094
Ge 0.000 3.079 7.642
Ge 3.079 0.000 2.547
Ge 3.079 3.079 0.000
S 1.355 4.619 1.274
S 1.540 1.355 8.915
S 1.540 1.725 3.821
S 1.725 4.619 6.368
S 4.434 1.540 6.368
S 4.619 4.434 3.821
S 4.619 4.804 8.915
S 4.804 1.540 1.274
```

=====

(19)
Hf4GeSb7 | GGA-PBEsol | relaxed

Properties
- Formation energy from raw total energies: -0.493 eV/atom
- Space group: Pm (6)

```
12
Lattice="7.261 0.000 0.000 0.000 3.919 0.000 -0.078 0.000 9.448" Properties=species:S:1:pos:R:3 pbc="T T T"
Hf 0.000 0.000 0.000
Hf 0.056 1.960 4.776
Hf 3.569 0.000 1.623
Hf 3.681 1.960 6.452
Ge 2.764 0.000 8.374
Sb 0.975 1.960 7.559
Sb 1.364 1.960 1.789
Sb 2.280 0.000 4.646
Sb 4.466 1.960 3.653
Sb 4.864 1.960 9.272
Sb 5.932 0.000 6.583
Sb 6.420 0.000 2.770
```

=====

(20)
HfGeSb2Te | GGA-PBEsol | relaxed

Properties
- Formation energy from raw total energies: 0.461 eV/atom
- Space group: P4/mmm (123)

```
5
Lattice="5.453 0.000 0.000 0.000 5.453 0.000 0.000 0.000 5.361" Properties=species:S:1:pos:R:3 pbc="T T T"
Hf 0.000 0.000 0.000
Ge 2.727 2.727 2.681
Sb 0.000 2.727 0.000
Sb 2.727 0.000 0.000
Te 0.000 0.000 2.681
```

=====

Taking the records one at a time from the top gives uncorrected energy values of -26.8 -22.3 -84.8 -32.3 -101.3 -83.5 -29.7 -78.4 -23.0 -20.2 -94.4 -34.9 -376.4 -396.6 -83.9 -46.7 -28.4 -102.8 -84.8 -25.8 eV for the cell shown.